Entry 1:
# Lu4CoAuC2

A relaxed Lu4CoAuC2 crystal (PBE-GGA, OQMD).

## Properties
Symmetry: P-6m2

a = 3.5253 Å, b = 3.5253 Å, c = 13.5312 Å
α = 90.00°, β = 90.00°, γ = 120.00°
With the nearest neighbours (Å) after each atom.
Element x y z (fractional)
Lu1 0.0000 0.0000 0.1410  3 C 2.48
Lu2 0.0000 0.0000 0.8590  3 C 2.48
Lu3 0.3333 0.6667 0.3357  3 C 2.37
Lu4 0.3333 0.6667 0.6643  3 C 2.37
Co1 0.3333 0.6667 0.0000  6 Lu 2.79
Au1 0.0000 0.0000 0.5000  6 Lu 3.01
C1 0.6667 0.3333 0.2463  6 Lu 2.37-2.48
C2 0.6667 0.3333 0.7537  6 Lu 2.37-2.48

Entry 2:
# ZrUTe

A relaxed ZrUTe crystal (PBE-GGA, OQMD).

## Properties
Symmetry: F-43m
Excess energy over the best structure of this formula in the dataset in meV per atom: 0

a = 4.9087 Å, b = 4.9087 Å, c = 4.9087 Å
α = 60.00°, β = 60.00°, γ = 60.00°
With the nearest neighbours (Å) after each atom.
Element x y z (fractional)
Zr1 0.0000 0.0000 0.0000  4 Te 3.01
U1 0.5000 0.5000 0.5000  4 Te 3.01
Te1 0.7500 0.7500 0.7500  4 Zr 3.01, 4 U 3.01

Entry 3:
# NdMoW

A relaxed NdMoW crystal (PBE-GGA, OQMD).

## Properties
Symmetry: F-43m
Energy of formation in eV per atom: 2.13
Excess energy over the best structure of this formula in the dataset in meV per atom: 1134

a = 4.5831 Å, b = 4.5831 Å, c = 4.5831 Å
α = 60.00°, β = 60.00°, γ = 60.00°
With the nearest neighbours (Å) after each atom.
Element x y z (fractional)
Nd1 0.0000 0.0000 0.0000  4 Mo 2.81, 4 W 2.81
Mo1 0.7500 0.7500 0.7500  4 Nd 2.81
W1 0.2500 0.2500 0.2500  4 Nd 2.81

Entry 4:
# TbYPt2

A relaxed TbYPt2 crystal (PBE-GGA, OQMD).

## Properties
Symmetry: Pmc2_1
Energy of formation in eV per atom: -1.27

a = 4.5136 Å, b = 5.5825 Å, c = 7.0703 Å
α = 90.00°, β = 90.00°, γ = 90.00°
With the nearest neighbours (Å) after each atom.
Element x y z (fractional)
Tb1 0.0000 0.1100 0.0000  7 Pt 2.88-3.04
Tb2 0.0000 0.8900 0.5000  7 Pt 2.88-3.04
Y1 0.5000 0.3903 0.3641  7 Pt 2.88-3.04
Y2 0.5000 0.6097 0.8641  7 Pt 2.88-3.04
Pt1 0.0000 0.4037 0.6379  3 Tb 2.88-3.04, 2 Pt 2.90, 4 Y 2.97-3.00
Pt2 0.0000 0.5963 0.1379  3 Tb 2.88-3.04, 2 Pt 2.90, 4 Y 2.97-3.00
Pt3 0.5000 0.0960 0.7264  3 Y 2.88-3.04, 2 Pt 2.90, 4 Tb 2.97-3.00
Pt4 0.5000 0.9040 0.2264  3 Y 2.88-3.04, 2 Pt 2.90, 4 Tb 2.97-3.00

Entry 5:
# KAsAuO

A relaxed KAsAuO crystal (PBE-GGA, OQMD).

## Properties
Symmetry: Pmc2_1
Excess energy over the best structure of this formula in the dataset in meV per atom: 0

a = 3.6392 Å, b = 7.9337 Å, c = 5.7017 Å
α = 90.00°, β = 90.00°, γ = 90.00°
With the nearest neighbours (Å) after each atom.
Element x y z (fractional)
K1 0.0000 0.1570 0.0000  4 O 2.62-2.63
K2 0.0000 0.8430 0.5000  4 O 2.62-2.63
As1 0.0000 0.4289 0.4879  2 Au 2.51
As2 0.0000 0.5711 0.9879  2 Au 2.51
Au1 0.5000 0.2114 0.5022  2 O 2.16-2.24
Au2 0.5000 0.7886 0.0022  2 O 2.16-2.24
O1 0.5000 0.0028 0.7452  2 Au 2.16-2.24
O2 0.5000 0.9972 0.2452  2 Au 2.16-2.24

Entry 6:
# BaGd2O4

A relaxed BaGd2O4 crystal (PBE-GGA, OQMD).

## Properties
Symmetry: Pnma
Excess energy over the best structure of this formula in the dataset in meV per atom: 0

a = 10.4464 Å, b = 3.5030 Å, c = 12.2044 Å
α = 90.00°, β = 90.00°, γ = 90.00°
With the nearest neighbours (Å) after each atom.
Element x y z (fractional)
Ba1 0.2480 0.2500 0.1488  8 O 2.73-2.95
Ba2 0.2520 0.7500 0.6488  8 O 2.73-2.95
Ba3 0.7480 0.2500 0.3512  8 O 2.73-2.95
Ba4 0.7520 0.7500 0.8512  8 O 2.73-2.95
Gd1 0.0772 0.2500 0.3892  6 O 2.27-2.37
Gd2 0.0766 0.2500 0.8896  6 O 2.27-2.39
Gd3 0.4234 0.7500 0.3896  6 O 2.27-2.39
Gd4 0.4228 0.7500 0.8892  6 O 2.27-2.37
Gd5 0.5772 0.2500 0.1108  6 O 2.27-2.37
Gd6 0.5766 0.2500 0.6104  6 O 2.27-2.39
Gd7 0.9234 0.7500 0.1104  6 O 2.27-2.39
Gd8 0.9228 0.7500 0.6108  6 O 2.27-2.37
O1 0.0166 0.7500 0.7824  3 Gd 2.27-2.31
O2 0.0700 0.2500 0.5754  3 Gd 2.27-2.37
O3 0.1188 0.7500 0.0176  3 Gd 2.33-2.39
O4 0.2110 0.7500 0.3370  3 Gd 2.31-2.33
O5 0.2890 0.2500 0.8370  3 Gd 2.31-2.33
O6 0.3812 0.2500 0.5176  3 Gd 2.33-2.39
O7 0.4300 0.7500 0.0754  3 Gd 2.27-2.37
O8 0.4834 0.2500 0.2824  3 Gd 2.27-2.31
O9 0.5166 0.7500 0.7176  3 Gd 2.27-2.31
O10 0.5700 0.2500 0.9246  3 Gd 2.27-2.37
O11 0.6188 0.7500 0.4824  3 Gd 2.33-2.39
O12 0.7110 0.7500 0.1630  3 Gd 2.31-2.33
O13 0.7890 0.2500 0.6630  3 Gd 2.31-2.33
O14 0.8812 0.2500 0.9824  3 Gd 2.33-2.39
O15 0.9300 0.7500 0.4246  3 Gd 2.27-2.37
O16 0.9834 0.2500 0.2176  3 Gd 2.27-2.31

Entry 7:
# Cs2Sr2Hg3

A relaxed Cs2Sr2Hg3 crystal (PBE-GGA, OQMD).

## Properties
Symmetry: R3m

a = 10.4310 Å, b = 10.4310 Å, c = 10.4310 Å
α = 33.63°, β = 33.63°, γ = 33.63°
With the nearest neighbours (Å) after each atom.
Element x y z (fractional)
Cs1 0.0000 0.0000 0.0000  7 Hg 3.69-3.79, 3 Sr 4.13
Cs2 0.4967 0.4967 0.4967  5 Hg 3.61-3.74
Sr1 0.2558 0.2558 0.2558  7 Hg 3.49-3.79
Sr2 0.7417 0.7417 0.7417  5 Hg 3.49-3.83
Hg1 0.3742 0.3742 0.3742  4 Sr 3.49-3.63, 4 Cs 3.61-3.69
Hg2 0.6234 0.6234 0.6234  4 Sr 3.49-3.63, 4 Cs 3.71-3.74
Hg3 0.8715 0.8715 0.8715  4 Cs 3.69-3.79, 4 Sr 3.79-3.83

Entry 8:
# PrCl2

A relaxed PrCl2 crystal (PBE-GGA, OQMD).

## Properties
Symmetry: Fd-3m

a = 5.9619 Å, b = 5.9619 Å, c = 5.9619 Å
α = 60.00°, β = 60.00°, γ = 60.00°
With the nearest neighbours (Å) after each atom.
Element x y z (fractional)
Pr1 0.1250 0.1250 0.1250  12 Cl 3.50, 4 Pr 3.65
Pr2 0.8750 0.8750 0.8750  12 Cl 3.50, 4 Pr 3.65
Cl1 0.0000 0.5000 0.5000  6 Cl 2.98
Cl2 0.5000 0.0000 0.5000  6 Cl 2.98
Cl3 0.5000 0.5000 0.0000  6 Cl 2.98
Cl4 0.5000 0.5000 0.5000  6 Cl 2.98

Entry 9:
# DyHoAu

A relaxed DyHoAu crystal (PBE-GGA, OQMD).

## Properties
Symmetry: Pnma
Energy of formation in eV per atom: -0.64
Excess energy over the best structure of this formula in the dataset in meV per atom: 0

a = 7.0797 Å, b = 4.9410 Å, c = 8.8957 Å
α = 90.00°, β = 90.00°, γ = 90.00°
With the nearest neighbours (Å) after each atom.
Element x y z (fractional)
Dy1 0.0128 0.2500 0.1765  3 Au 2.94-3.14
Dy2 0.4872 0.7500 0.6765  3 Au 2.94-3.14
Dy3 0.5128 0.2500 0.3235  3 Au 2.94-3.14
Dy4 0.9872 0.7500 0.8235  3 Au 2.94-3.14
Ho1 0.1492 0.2500 0.5811  4 Au 2.88-3.04
Ho2 0.3508 0.7500 0.0811  4 Au 2.88-3.04
Ho3 0.6492 0.2500 0.9189  4 Au 2.88-3.04
Ho4 0.8508 0.7500 0.4189  4 Au 2.88-3.04
Au1 0.2429 0.2500 0.9017  4 Ho 2.88-3.04, 3 Dy 2.94-3.14
Au2 0.2571 0.7500 0.4017  4 Ho 2.88-3.04, 3 Dy 2.94-3.14
Au3 0.7429 0.2500 0.5983  4 Ho 2.88-3.04, 3 Dy 2.94-3.14
Au4 0.7571 0.7500 0.0983  4 Ho 2.88-3.04, 3 Dy 2.94-3.14

Entry 10:
# Co2BiPd

A relaxed Co2BiPd crystal (PBE-GGA, OQMD).

## Properties
Symmetry: F-43m

a = 4.4618 Å, b = 4.4618 Å, c = 4.4618 Å
α = 60.00°, β = 60.00°, γ = 60.00°
With the nearest neighbours (Å) after each atom.
Element x y z (fractional)
Co1 0.0000 0.0000 0.0000  4 Co 2.73, 4 Pd 2.73
Co2 0.2500 0.2500 0.2500  4 Bi 2.73, 4 Co 2.73
Bi1 0.5000 0.5000 0.5000  4 Co 2.73, 4 Pd 2.73
Pd1 0.7500 0.7500 0.7500  4 Bi 2.73, 4 Co 2.73

Entry 11:
# ReMo2

A relaxed ReMo2 crystal (PBE-GGA, OQMD).

## Properties
Symmetry: Fd-3m
Energy of formation in eV per atom: 0.43
Excess energy over the best structure of this formula in the dataset in meV per atom: 0

a = 5.1281 Å, b = 5.1281 Å, c = 5.1281 Å
α = 60.00°, β = 60.00°, γ = 60.00°
With the nearest neighbours (Å) after each atom.
Element x y z (fractional)
Re1 0.1250 0.1250 0.1250  12 Mo 3.01, 4 Re 3.14
Re2 0.8750 0.8750 0.8750  12 Mo 3.01, 4 Re 3.14
Mo1 0.0000 0.5000 0.5000  6 Mo 2.56
Mo2 0.5000 0.0000 0.5000  6 Mo 2.56
Mo3 0.5000 0.5000 0.0000  6 Mo 2.56
Mo4 0.5000 0.5000 0.5000  6 Mo 2.56

Entry 12:
# ZrFeGe2

A relaxed ZrFeGe2 crystal (PBE-GGA, OQMD).

## Properties
Symmetry: Pbam

a = 9.2815 Å, b = 10.1512 Å, c = 8.0171 Å
α = 90.00°, β = 90.00°, γ = 90.00°
With the nearest neighbours (Å) after each atom.
Element x y z (fractional)
Zr1 0.1681 0.1811 0.0000  7 Ge 2.76-2.93
Zr2 0.1722 0.4525 0.2454  8 Ge 2.77-2.96, 2 Fe 3.02-3.08
Zr3 0.1722 0.4525 0.7546  8 Ge 2.77-2.96, 2 Fe 3.02-3.08
Zr4 0.3278 0.9525 0.2454  8 Ge 2.77-2.96, 2 Fe 3.02-3.08
Zr5 0.3278 0.9525 0.7546  8 Ge 2.77-2.96, 2 Fe 3.02-3.08
Zr6 0.3319 0.6811 0.0000  7 Ge 2.76-2.93
Zr7 0.6681 0.3189 0.0000  7 Ge 2.76-2.93
Zr8 0.6722 0.0475 0.2454  8 Ge 2.77-2.96, 2 Fe 3.02-3.08
Zr9 0.6722 0.0475 0.7546  8 Ge 2.77-2.96, 2 Fe 3.02-3.08
Zr10 0.8278 0.5475 0.2454  8 Ge 2.77-2.96, 2 Fe 3.02-3.08
Zr11 0.8278 0.5475 0.7546  8 Ge 2.77-2.96, 2 Fe 3.02-3.08
Zr12 0.8319 0.8189 0.0000  7 Ge 2.76-2.93
Fe1 0.0000 0.0000 0.2465  6 Ge 2.51-2.53, 2 Fe 2.63
Fe2 0.0000 0.0000 0.7535  6 Ge 2.51-2.53, 2 Fe 2.63
Fe3 0.0859 0.7534 0.2498  6 Ge 2.44-2.55, 1 Fe 2.63
Fe4 0.0859 0.7534 0.7502  6 Ge 2.44-2.55, 1 Fe 2.63
Fe5 0.4141 0.2534 0.2498  6 Ge 2.44-2.55, 1 Fe 2.63
Fe6 0.4141 0.2534 0.7502  6 Ge 2.44-2.55, 1 Fe 2.63
Fe7 0.5000 0.5000 0.2465  6 Ge 2.51-2.53, 2 Fe 2.63
Fe8 0.5000 0.5000 0.7535  6 Ge 2.51-2.53, 2 Fe 2.63
Fe9 0.5859 0.7466 0.2498  6 Ge 2.44-2.55, 1 Fe 2.63
Fe10 0.5859 0.7466 0.7502  6 Ge 2.44-2.55, 1 Fe 2.63
Fe11 0.9141 0.2466 0.2498  6 Ge 2.44-2.55, 1 Fe 2.63
Fe12 0.9141 0.2466 0.7502  6 Ge 2.44-2.55, 1 Fe 2.63
Ge1 0.0399 0.6213 0.0000  2 Fe 2.45, 1 Ge 2.57
Ge2 0.0431 0.6230 0.5000  2 Fe 2.44, 1 Ge 2.62
Ge3 0.1244 0.9041 0.5000  4 Fe 2.53-2.55, 2 Zr 2.82
Ge4 0.1261 0.8993 0.0000  4 Fe 2.51-2.52, 2 Zr 2.77
Ge5 0.1640 0.1814 0.3447  1 Ge 2.49, 3 Fe 2.52-2.55, 1 Zr 2.76
Ge6 0.1640 0.1814 0.6553  1 Ge 2.49, 3 Fe 2.52-2.55, 1 Zr 2.76
Ge7 0.3360 0.6814 0.3447  1 Ge 2.49, 3 Fe 2.52-2.55, 1 Zr 2.76
Ge8 0.3360 0.6814 0.6553  1 Ge 2.49, 3 Fe 2.52-2.55, 1 Zr 2.76
Ge9 0.3739 0.3993 0.0000  4 Fe 2.51-2.52, 2 Zr 2.77
Ge10 0.3756 0.4041 0.5000  4 Fe 2.53-2.55, 2 Zr 2.82
Ge11 0.4569 0.1230 0.5000  2 Fe 2.44, 1 Ge 2.62
Ge12 0.4601 0.1213 0.0000  2 Fe 2.45, 1 Ge 2.57
Ge13 0.5399 0.8787 0.0000  2 Fe 2.45, 1 Ge 2.57
Ge14 0.5431 0.8770 0.5000  2 Fe 2.44, 1 Ge 2.62
Ge15 0.6244 0.5959 0.5000  4 Fe 2.53-2.55, 2 Zr 2.82
Ge16 0.6261 0.6007 0.0000  4 Fe 2.51-2.52, 2 Zr 2.77
Ge17 0.6640 0.3186 0.3447  1 Ge 2.49, 3 Fe 2.52-2.55, 1 Zr 2.76
Ge18 0.6640 0.3186 0.6553  1 Ge 2.49, 3 Fe 2.52-2.55, 1 Zr 2.76
Ge19 0.8360 0.8186 0.3447  1 Ge 2.49, 3 Fe 2.52-2.55, 1 Zr 2.76
Ge20 0.8360 0.8186 0.6553  1 Ge 2.49, 3 Fe 2.52-2.55, 1 Zr 2.76
Ge21 0.8739 0.1007 0.0000  4 Fe 2.51-2.52, 2 Zr 2.77
Ge22 0.8756 0.0959 0.5000  4 Fe 2.53-2.55, 2 Zr 2.82
Ge23 0.9569 0.3770 0.5000  2 Fe 2.44, 1 Ge 2.62
Ge24 0.9601 0.3787 0.0000  2 Fe 2.45, 1 Ge 2.57

Entry 13:
# ZnAg2B

A relaxed ZnAg2B crystal (PBE-GGA, OQMD).

## Properties
Symmetry: F-43m

a = 4.3789 Å, b = 4.3789 Å, c = 4.3789 Å
α = 60.00°, β = 60.00°, γ = 60.00°
With the nearest neighbours (Å) after each atom.
Element x y z (fractional)
Zn1 0.0000 0.0000 0.0000  4 B 2.68, 4 Ag 2.68
Ag1 0.2500 0.2500 0.2500  4 Zn 2.68, 4 Ag 2.68
Ag2 0.5000 0.5000 0.5000  4 B 2.68, 4 Ag 2.68
B1 0.7500 0.7500 0.7500  4 Zn 2.68, 4 Ag 2.68

Entry 14:
# Zr3TlS

A relaxed Zr3TlS crystal (PBE-GGA, OQMD).

## Properties
Symmetry: Cmcm

a = 6.3172 Å, b = 6.3172 Å, c = 9.7322 Å
α = 90.00°, β = 90.00°, γ = 146.48°
With the nearest neighbours (Å) after each atom.
Element x y z (fractional)
Zr1 0.0419 0.9581 0.7500  2 S 2.49
Zr2 0.3601 0.6399 0.5475  2 S 2.53
Zr3 0.3601 0.6399 0.9525  2 S 2.53
Zr4 0.6399 0.3601 0.0475  2 S 2.53
Zr5 0.6399 0.3601 0.4525  2 S 2.53
Zr6 0.9581 0.0419 0.2500  2 S 2.49
Tl1 0.2583 0.7417 0.2500  8 Zr 3.03-3.15
Tl2 0.7417 0.2583 0.7500  8 Zr 3.03-3.15
S1 0.0000 0.0000 0.0000  6 Zr 2.49-2.53
S2 0.0000 0.0000 0.5000  6 Zr 2.49-2.53

Entry 15:
# Pr2Ga6I

A relaxed Pr2Ga6I crystal (PBE-GGA, OQMD).

## Properties
Symmetry: Fm-3m

a = 6.7394 Å, b = 6.7394 Å, c = 6.7394 Å
α = 60.00°, β = 60.00°, γ = 60.00°
With the nearest neighbours (Å) after each atom.
Element x y z (fractional)
Pr1 0.2500 0.2500 0.2500  12 Ga 3.40
Pr2 0.7500 0.7500 0.7500  12 Ga 3.40
Ga1 0.1994 0.1994 0.8006  4 Ga 2.69, 1 I 2.86
Ga2 0.1994 0.8006 0.1994  4 Ga 2.69, 1 I 2.86
Ga3 0.1994 0.8006 0.8006  4 Ga 2.69, 1 I 2.86
Ga4 0.8006 0.1994 0.1994  4 Ga 2.69, 1 I 2.86
Ga5 0.8006 0.1994 0.8006  4 Ga 2.69, 1 I 2.86
Ga6 0.8006 0.8006 0.1994  4 Ga 2.69, 1 I 2.86
I1 0.5000 0.5000 0.5000  6 Ga 2.86

Entry 16:
# UIrOs

A relaxed UIrOs crystal (PBE-GGA, OQMD).

## Properties
Symmetry: F-43m
Energy of formation in eV per atom: 0.28
Excess energy over the best structure of this formula in the dataset in meV per atom: 0

a = 4.4246 Å, b = 4.4246 Å, c = 4.4246 Å
α = 60.00°, β = 60.00°, γ = 60.00°
With the nearest neighbours (Å) after each atom.
Element x y z (fractional)
U1 0.0000 0.0000 0.0000  4 Os 2.71
Ir1 0.5000 0.5000 0.5000  4 Os 2.71
Os1 0.7500 0.7500 0.7500  4 Ir 2.71, 4 U 2.71

Entry 17:
# PaSiPt

A relaxed PaSiPt crystal (PBE-GGA, OQMD).

## Properties
Symmetry: P3m1

a = 4.2330 Å, b = 4.2330 Å, c = 3.7933 Å
α = 90.00°, β = 90.00°, γ = 120.00°
With the nearest neighbours (Å) after each atom.
Element x y z (fractional)
Pa1 0.0000 0.0000 0.0000  6 Pt 3.02-3.17, 6 Si 3.04-3.15
Si1 0.3333 0.6667 0.4765  3 Pt 2.45
Pt1 0.6667 0.3333 0.5318  3 Si 2.45

Entry 18:
# DyCo8P2

A relaxed DyCo8P2 crystal (PBE-GGA, OQMD).

## Properties
Symmetry: C2/m

a = 5.5833 Å, b = 5.5833 Å, c = 8.5930 Å
α = 124.00°, β = 124.00°, γ = 37.77°
With the nearest neighbours (Å) after each atom.
Element x y z (fractional)
Dy1 0.0000 0.0000 0.0000  4 P 2.86, 12 Co 2.93-3.16
Co1 0.0350 0.0350 0.3892  2 P 2.29, 7 Co 2.38-2.52
Co2 0.2393 0.2393 0.8819  3 P 2.16-2.30, 1 Co 2.42
Co3 0.3104 0.3104 0.6344  1 P 2.29, 6 Co 2.38-2.52
Co4 0.3491 0.3491 0.3787  1 P 2.18, 4 Co 2.42-2.43
Co5 0.6509 0.6509 0.6213  1 P 2.18, 4 Co 2.42-2.43
Co6 0.6896 0.6896 0.3656  1 P 2.29, 6 Co 2.38-2.52
Co7 0.7607 0.7607 0.1181  3 P 2.16-2.30, 1 Co 2.42
Co8 0.9650 0.9650 0.6108  2 P 2.29, 7 Co 2.38-2.52
P1 0.4218 0.4218 0.1887  7 Co 2.16-2.30
P2 0.5782 0.5782 0.8113  7 Co 2.16-2.30

Entry 19:
# NbTe2As

A relaxed NbTe2As crystal (PBE-GGA, OQMD).

## Properties
Symmetry: F-43m

a = 4.9807 Å, b = 4.9807 Å, c = 4.9807 Å
α = 60.00°, β = 60.00°, γ = 60.00°
With the nearest neighbours (Å) after each atom.
Element x y z (fractional)
Nb1 0.0000 0.0000 0.0000  4 As 3.05, 4 Te 3.05
Te1 0.5000 0.5000 0.5000  4 Te 3.05, 4 As 3.05
Te2 0.7500 0.7500 0.7500  4 Te 3.05, 4 Nb 3.05
As1 0.2500 0.2500 0.2500  4 Te 3.05, 4 Nb 3.05

Entry 20:
# CsReAgTeSe2

A relaxed CsReAgTeSe2 crystal (PBE-GGA, OQMD).

## Properties
Symmetry: Cmcm

a = 8.7190 Å, b = 8.7190 Å, c = 10.5912 Å
α = 90.00°, β = 90.00°, γ = 154.38°
With the nearest neighbours (Å) after each atom.
Element x y z (fractional)
Cs1 0.2362 0.7638 0.7500  2 Ag 3.70, 6 Se 3.83-3.99, 2 Cs 3.87, 2 Te 3.87
Cs2 0.7638 0.2362 0.2500  2 Ag 3.70, 6 Se 3.83-3.99, 2 Cs 3.87, 2 Te 3.87
Re1 0.0000 0.0000 0.0000  4 Se 2.62, 2 Te 2.88
Re2 0.0000 0.0000 0.5000  4 Se 2.62, 2 Te 2.88
Ag1 0.4493 0.5507 0.2500  2 Se 2.56, 2 Te 2.78
Ag2 0.5507 0.4493 0.7500  2 Se 2.56, 2 Te 2.78
Te1 0.0668 0.9332 0.2500  2 Ag 2.78, 2 Re 2.88
Te2 0.9332 0.0668 0.7500  2 Ag 2.78, 2 Re 2.88
Se1 0.3974 0.6026 0.0235  1 Ag 2.56, 2 Re 2.62
Se2 0.3974 0.6026 0.4765  1 Ag 2.56, 2 Re 2.62
Se3 0.6026 0.3974 0.5235  1 Ag 2.56, 2 Re 2.62
Se4 0.6026 0.3974 0.9765  1 Ag 2.56, 2 Re 2.62

no.,uncorrected energy (eV for the cell shown)
1,-49.61
2,-22.16
3,-22.19
4,-56.54
5,-30.50
6,-214.94
7,-7.02
8,-20.97
9,-57.51
10,-21.67
11,-65.67
12,-338.00
13,-10.51
14,-71.50
15,-30.74
16,-30.53
17,-23.99
18,-76.74
19,-19.43
20,-54.19